w) 4
Lattice="0.000 2.980 2.980 2.980 0.000 2.980 2.980 2.980 0.000" Properties=species:S:1:pos:R:3 comment="MgBAsOs | OQMD | PBE | relaxed" spacegroup="No. 216" crystal_system=cubic pbc="T T T"
B 2.980 2.980 2.980
As 0.000 0.000 0.000
Os 1.490 1.490 1.490
Mg 4.469 4.469 4.469



x) 4
Lattice="0.024 -2.099 3.765 -2.106 1.630 3.390 -3.592 -1.909 1.427" Properties=species:S:1:pos:R:3 comment="MgBAsOs | OQMD | PBE | relaxed" spacegroup="No. 216" crystal_system=cubic pbc="T T T"
B -2.837 -1.189 4.291
Mg -4.256 -1.784 6.436
As -1.419 -0.595 2.145
Os 0.000 0.000 0.000



Quick one: least stable of them? x)



w) 6
Lattice="2.250 2.441 4.227 -2.916 -0.610 4.474 2.810 -2.526 -3.822" Properties=species:S:1:pos:R:3 comment="NdB4As | OQMD | PBE | relaxed" spacegroup="No. 71" crystal_system=orthorhombic pbc="T T T"
B -1.157 -1.065 2.567
Nd -0.333 0.915 4.351
B 0.698 -1.097 2.715
As 0.000 0.000 0.000
B 1.447 0.401 2.164
B 3.302 0.370 2.313



x) 6
Lattice="3.190 0.000 0.000 -1.595 2.763 0.000 0.000 0.000 7.927" Properties=species:S:1:pos:R:3 comment="NdB4As | OQMD | PBE | relaxed" spacegroup="No. 191" crystal_system=hexagonal pbc="T T T"
Nd 0.000 0.000 0.000
B 1.595 0.921 2.125
B 0.000 1.842 5.802
B 1.595 0.921 5.802
B 0.000 1.842 2.125
As 0.000 0.000 3.963



Quick one: least stable of them? x)



w) 8
Lattice="5.088 0.000 0.000 0.000 4.225 0.000 0.000 0.000 6.060" Properties=species:S:1:pos:R:3 comment="NdBAsO | OQMD | PBE | relaxed" spacegroup="No. 26" crystal_system=orthorhombic pbc="T T T"
As 0.000 3.196 1.663
O 2.544 1.086 2.804
Nd 2.544 3.190 3.654
B 0.000 3.209 5.539
As 0.000 1.029 4.692
B 0.000 1.016 2.509
Nd 2.544 1.035 0.624
O 2.544 3.139 5.834



x) 8
Lattice="4.096 0.000 0.000 0.000 4.096 0.000 0.000 0.000 7.423" Properties=species:S:1:pos:R:3 comment="NdBAsO | OQMD | PBE | relaxed" spacegroup="No. 129" crystal_system=tetragonal pbc="T T T"
As 2.048 0.000 4.555
As 0.000 2.048 2.868
O 2.048 2.048 0.000
B 2.048 2.048 3.711
O 0.000 0.000 0.000
B 0.000 0.000 3.711
Nd 2.048 0.000 1.161
Nd 0.000 2.048 6.262



y) 8
Lattice="5.895 0.000 0.000 0.000 5.895 0.000 0.000 0.000 4.421" Properties=species:S:1:pos:R:3 comment="NdBAsO | OQMD | PBE | relaxed" spacegroup="No. 129" crystal_system=tetragonal pbc="T T T"
As 0.000 2.948 0.682
B 0.000 2.948 2.583
Nd 2.948 2.948 2.211
O 0.000 0.000 0.000
Nd 0.000 0.000 2.211
O 2.948 2.948 0.000
As 2.948 0.000 3.740
B 2.948 0.000 1.838



Quick one: least stable of them? y)



w) 8
Lattice="-1.175 2.204 1.890 -1.892 0.965 -2.302 -6.787 -6.180 2.989" Properties=species:S:1:pos:R:3 comment="BAsOsO | OQMD | PBE | relaxed" spacegroup="No. 129" crystal_system=tetragonal pbc="T T T"
B -4.927 -1.506 1.288
O -1.534 1.585 -0.206
Os -6.782 -4.831 1.418
O 0.000 0.000 0.000
As -3.121 -1.498 -0.193
Os -1.539 0.235 1.364
B -3.394 -3.090 1.494
As -5.200 -3.098 2.976



x) 8
Lattice="-1.378 2.581 -0.121 -6.452 -3.230 4.572 1.987 1.233 3.674" Properties=species:S:1:pos:R:3 comment="BAsOsO | OQMD | PBE | relaxed" spacegroup="No. 26" crystal_system=orthorhombic pbc="T T T"
B -6.569 -1.645 4.291
O 0.660 2.168 3.300
B -0.123 1.701 2.264
Os -0.949 -0.250 5.484
Os -2.734 -1.262 4.208
O -6.107 -1.339 5.556
As -0.859 -0.330 2.750
As -2.925 -1.245 6.756



Quick one: least stable of them? w)



w) 8
Lattice="3.676 0.000 0.000 0.000 3.676 0.000 0.000 0.000 8.221" Properties=species:S:1:pos:R:3 comment="BAsOsO | OQMD | PBE | relaxed" spacegroup="No. 129" crystal_system=tetragonal pbc="T T T"
O 0.000 0.000 0.000
As 1.838 0.000 5.725
O 1.838 1.838 0.000
Os 1.838 1.838 4.111
B 1.838 0.000 7.801
B 0.000 1.838 0.421
As 0.000 1.838 2.497
Os 0.000 0.000 4.111



x) 8
Lattice="2.662 0.000 0.000 0.000 6.717 0.000 0.000 0.000 5.540" Properties=species:S:1:pos:R:3 comment="BAsOsO | OQMD | PBE | relaxed" spacegroup="No. 26" crystal_system=orthorhombic pbc="T T T"
B 0.000 5.908 0.102
As 0.000 5.507 2.158
As 0.000 1.210 4.928
Os 1.331 3.202 5.121
O 1.331 5.387 5.107
B 0.000 0.809 2.872
Os 1.331 3.515 2.350
O 1.331 1.330 2.337



Quick one: least stable of them? w)



w) 8
Lattice="4.138 0.000 0.000 0.000 4.129 0.000 0.000 0.000 6.997" Properties=species:S:1:pos:R:3 comment="PaBAsO | OQMD | PBE | relaxed" spacegroup="No. 26" crystal_system=orthorhombic pbc="T T T"
O 2.069 0.965 6.577
O 2.069 3.165 3.078
B 0.000 0.864 6.603
B 0.000 3.265 3.105
Pa 2.069 3.043 0.739
Pa 2.069 1.086 4.238
As 0.000 3.138 5.350
As 0.000 0.992 1.852



x) 8
Lattice="-2.326 -0.375 -3.363 -3.001 -1.658 2.260 -2.670 6.382 1.134" Properties=species:S:1:pos:R:3 comment="PaBAsO | OQMD | PBE | relaxed" spacegroup="No. 129" crystal_system=tetragonal pbc="T T T"
As -2.543 1.662 1.573
As -2.791 3.704 -0.990
O 0.000 0.000 0.000
O -2.663 -1.016 -0.552
B -3.999 2.174 0.016
Pa -3.677 4.371 2.055
Pa -1.657 0.994 -1.472
B -1.335 3.191 0.567



Quick one: least stable of them? w)



w) 8
Lattice="-2.005 0.470 -1.607 0.466 -6.389 -2.451 -3.693 -1.832 4.072" Properties=species:S:1:pos:R:3 comment="BAsPdO | OQMD | PBE | relaxed" spacegroup="No. 26" crystal_system=orthorhombic pbc="T T T"
O -4.047 -6.565 1.006
B 0.348 -5.603 -2.073
Pd -2.349 -3.937 -0.343
As -3.176 -2.697 3.174
B -1.846 -1.760 1.788
Pd -4.223 -4.478 1.836
O -2.479 -1.827 0.436
As -1.021 -6.005 -0.482



x) 8
Lattice="2.793 -2.793 0.000 2.793 2.793 0.000 0.000 0.000 7.541" Properties=species:S:1:pos:R:3 comment="BAsPdO | OQMD | PBE | relaxed" spacegroup="No. 129" crystal_system=tetragonal pbc="T T T"
O 2.793 1.397 0.000
As 4.190 0.000 2.762
Pd 4.190 0.000 6.983
B 2.793 1.397 3.771
Pd 1.397 0.000 0.558
As 1.397 0.000 4.779
O 2.793 -1.397 0.000
B 2.793 -1.397 3.771



Quick one: least stable of them? x)



w) 8
Lattice="3.095 0.000 0.000 0.000 7.812 0.000 0.000 0.000 4.576" Properties=species:S:1:pos:R:3 comment="BAsPdO | OQMD | PBE | relaxed" spacegroup="No. 26" crystal_system=orthorhombic pbc="T T T"
Pd 0.000 7.069 4.373
As 0.000 6.115 2.056
B 1.547 3.241 0.126
As 0.000 1.698 4.344
Pd 0.000 0.743 2.085
B 1.547 4.572 2.414
O 1.547 4.255 3.759
O 1.547 3.558 1.471



x) 8
Lattice="-2.504 -1.189 -2.195 2.478 -1.561 -1.981 -0.750 -7.267 4.791" Properties=species:S:1:pos:R:3 comment="BAsPdO | OQMD | PBE | relaxed" spacegroup="No. 129" crystal_system=tetragonal pbc="T T T"
Pd -0.375 -3.633 2.395
As 1.017 -2.934 0.429
B -1.957 -7.431 3.410
Pd -0.388 -5.009 0.307
O -0.013 -1.375 -2.088
O 0.000 0.000 0.000
B 1.195 -1.211 -0.707
As -1.779 -5.708 2.274



Quick one: least stable of them? x)